(1)
Sm3AsO6 PBE relaxed; energy = -154.775 eV for the cell shown; E_form (uncorrected) = -2.883 eV per atom; M_tot = 0.0 Bohr magnetons per cell; SG = Cmc2_1, No. 36; density = 6.6 g/cm3; volume = 311.70 Å³/cell
1.0
4.5415 -5.6974 0.0000
4.5415 5.6974 0.0000
0.0000 0.0000 6.0231
Sm As O
6 2 12
Direct
0.0971 0.9029 0.5000 Sm
0.1959 0.4124 0.4625 Sm
0.4124 0.1959 0.9625 Sm
0.5876 0.8041 0.4625 Sm
0.8041 0.5876 0.9625 Sm
0.9029 0.0971 0.0000 Sm
0.3255 0.6745 0.9117 As
0.6745 0.3255 0.4117 As
0.0948 0.6015 0.7803 O
0.1511 0.1749 0.7336 O
0.1749 0.1511 0.2336 O
0.2793 0.7207 0.3699 O
0.3985 0.9052 0.7803 O
0.4606 0.5394 0.7346 O
0.5394 0.4606 0.2346 O
0.6015 0.0948 0.2803 O
0.7207 0.2793 0.8699 O
0.8251 0.8489 0.7336 O
0.8489 0.8251 0.2336 O
0.9052 0.3985 0.2803 O

***

(2)
Ni2SeBr PBE relaxed; energy = -16.410 eV for the cell shown; E_form (uncorrected) = 0.078 eV per atom; M_tot = 0.0 Bohr magnetons per cell; polymorph energy (0 for the lowest one) = 218 meV per atom; SG = Pmmm, No. 47; density = 6.8 g/cm3; volume = 67.73 Å³/cell
1.0
3.1807 0.0000 0.0000
0.0000 3.3243 0.0000
0.0000 0.0000 6.4059
Ni Se Br
2 1 1
Direct
0.0000 0.0000 0.1880 Ni
0.0000 0.0000 0.8120 Ni
0.5000 0.5000 0.0000 Se
0.5000 0.0000 0.5000 Br

***

(3)
Na3Pb4Au2 PBE relaxed; energy = -26.596 eV for the cell shown; M_tot = 0.0 Bohr magnetons per cell; SG = C2/m, No. 12; density = 8.3 g/cm3; volume = 258.61 Å³/cell
1.0
7.1889 -2.5416 0.0000
7.1889 2.5416 0.0000
-2.2643 0.0000 7.0770
Na Pb Au
3 4 2
Direct
0.0000 0.0000 0.0000 Na
0.1419 0.1419 0.5205 Na
0.8581 0.8581 0.4795 Na
0.2506 0.2506 0.1524 Pb
0.4838 0.4838 0.2859 Pb
0.5162 0.5162 0.7141 Pb
0.7494 0.7494 0.8476 Pb
0.3505 0.3505 0.8457 Au
0.6495 0.6495 0.1543 Au

***

(4)
Ce2TeRh2 PBE relaxed; energy = -68.954 eV for the cell shown; E_form (uncorrected) = -0.953 eV per atom; M_tot = 0.0 Bohr magnetons per cell; SG = P4/mbm, No. 127; density = 9.3 g/cm3; volume = 219.01 Å³/cell
1.0
7.6141 0.0000 0.0000
0.0000 7.6141 0.0000
0.0000 0.0000 3.7778
Ce Te Rh
4 2 4
Direct
0.1776 0.3224 0.0000 Ce
0.3224 0.8224 0.0000 Ce
0.6776 0.1776 0.0000 Ce
0.8224 0.6776 0.0000 Ce
0.0000 0.0000 0.5000 Te
0.5000 0.5000 0.5000 Te
0.1300 0.6300 0.5000 Rh
0.3700 0.1300 0.5000 Rh
0.6300 0.8700 0.5000 Rh
0.8700 0.3700 0.5000 Rh

***

(5)
PmNdCrN3 PBE relaxed; energy = -100.585 eV for the cell shown; E_form (uncorrected) = -1.029 eV per atom; M_tot = 0.0 Bohr magnetons per cell; SG = P2_1/m, No. 11; density = 6.6 g/cm3; volume = 192.78 Å³/cell
1.0
7.3558 0.0000 0.0000
0.0000 3.4748 0.0000
-0.9555 0.0000 7.5421
Pm Nd Cr N
2 2 2 6
Direct
0.1796 0.2500 0.1285 Pm
0.8204 0.7500 0.8715 Pm
0.1751 0.2500 0.6714 Nd
0.8249 0.7500 0.3286 Nd
0.4053 0.7500 0.4186 Cr
0.5947 0.2500 0.5814 Cr
0.1451 0.7500 0.8934 N
0.1591 0.7500 0.3835 N
0.4853 0.2500 0.3456 N
0.5147 0.7500 0.6544 N
0.8409 0.2500 0.6165 N
0.8549 0.2500 0.1066 N

***

(6)
Ac8Ni3AsBr4 PBE relaxed; energy = -76.664 eV for the cell shown; E_form (uncorrected) = -0.944 eV per atom; M_tot = 0.0 Bohr magnetons per cell; SG = R-3m, No. 166; density = 7.3 g/cm3; volume = 539.99 Å³/cell
1.0
4.3985 2.5395 8.0561
-4.3985 2.5395 8.0561
0.0000 -5.0789 8.0561
Ac Ni As Br
8 3 1 4
Direct
0.2205 0.7407 0.7407 Ac
0.2312 0.2312 0.2312 Ac
0.2593 0.2593 0.7795 Ac
0.2593 0.7795 0.2593 Ac
0.7407 0.2205 0.7407 Ac
0.7407 0.7407 0.2205 Ac
0.7688 0.7688 0.7688 Ac
0.7795 0.2593 0.2593 Ac
0.0000 0.0000 0.5000 Ni
0.0000 0.5000 0.0000 Ni
0.5000 0.0000 0.0000 Ni
0.5000 0.5000 0.5000 As
0.0000 0.0000 0.0000 Br
0.0000 0.5000 0.5000 Br
0.5000 0.0000 0.5000 Br
0.5000 0.5000 0.0000 Br

***

(7)
TbPmI PBE relaxed; energy = -12.540 eV for the cell shown; E_form (uncorrected) = -0.536 eV per atom; M_tot = 0.4 Bohr magnetons per cell; polymorph energy (0 for the lowest one) = 0 meV per atom; SG = P3m1, No. 156; density = 7.1 g/cm3; volume = 100.20 Å³/cell
1.0
3.8779 0.0000 0.0000
-1.9390 3.3584 0.0000
0.0000 0.0000 7.6939
Tb Pm I
1 1 1
Direct
0.0000 0.0000 0.0000 Tb
0.3333 0.6667 0.6477 Pm
0.6667 0.3333 0.3173 I

***

(8)
Fe PBE relaxed; energy = -62.026 eV for the cell shown; M_tot = 0.0 Bohr magnetons per cell; polymorph energy (0 for the lowest one) = 709 meV per atom; SG = I4_1/acd, No. 142; density = 8.3 g/cm3; volume = 89.86 Å³/cell
1.0
-2.3467 2.3467 4.0797
2.3467 -2.3467 4.0797
2.3467 2.3467 -4.0797
Fe
8
Direct
0.0370 0.7870 0.5740 Fe
0.2130 0.2870 0.2500 Fe
0.2870 0.5370 0.0740 Fe
0.4630 0.0370 0.7500 Fe
0.5370 0.9630 0.2500 Fe
0.7130 0.4630 0.9260 Fe
0.7870 0.7130 0.7500 Fe
0.9630 0.2130 0.4260 Fe

***

(9)
ZnAgSeO4 PBE relaxed; energy = -31.651 eV for the cell shown; E_form (uncorrected) = -0.601 eV per atom; M_tot = 0.0 Bohr magnetons per cell; SG = I-4, No. 82; density = 4.5 g/cm3; volume = 117.26 Å³/cell
1.0
-2.6967 2.6967 4.0312
2.6967 -2.6967 4.0312
2.6967 2.6967 -4.0312
Zn Ag Se O
1 1 1 4
Direct
0.0000 0.0000 0.0000 Zn
0.5000 0.5000 0.0000 Ag
0.7500 0.2500 0.5000 Se
0.0365 0.5977 0.8839 O
0.4023 0.2862 0.4389 O
0.7138 0.1527 0.1161 O
0.8473 0.9635 0.5611 O

***

(10)
Y3GeAu PBE relaxed; energy = -27.934 eV for the cell shown; M_tot = 2.2 Bohr magnetons per cell; polymorph energy (0 for the lowest one) = 0 meV per atom; SG = Pm-3m, No. 221; density = 5.7 g/cm3; volume = 155.52 Å³/cell
1.0
5.3777 0.0000 0.0000
0.0000 5.3777 0.0000
0.0000 0.0000 5.3777
Y Ge Au
3 1 1
Direct
0.0000 0.0000 0.5000 Y
0.0000 0.5000 0.0000 Y
0.5000 0.0000 0.0000 Y
0.0000 0.0000 0.0000 Ge
0.5000 0.5000 0.5000 Au

***

(11)
RbBa2Cd2 PBE relaxed; energy = -6.791 eV for the cell shown; M_tot = 0.0 Bohr magnetons per cell; polymorph energy (0 for the lowest one) = 124 meV per atom; SG = I4/mmm, No. 139; density = 3.6 g/cm3; volume = 267.01 Å³/cell
1.0
-2.2577 2.2577 13.0956
2.2577 -2.2577 13.0956
2.2577 2.2577 -13.0956
Rb Ba Cd
1 2 2
Direct
0.0000 0.0000 0.0000 Rb
0.3557 0.3557 0.0000 Ba
0.6443 0.6443 0.0000 Ba
0.2500 0.7500 0.5000 Cd
0.7500 0.2500 0.5000 Cd

***

(12)
LiIn5Pb4 PBE relaxed; energy = -30.528 eV for the cell shown; M_tot = 0.0 Bohr magnetons per cell; SG = P4/mmm, No. 123; density = 8.4 g/cm3; volume = 280.31 Å³/cell
1.0
3.9106 0.0000 0.0000
0.0000 3.9106 0.0000
0.0000 0.0000 18.3298
Li In Pb
1 5 4
Direct
0.0000 0.0000 0.0000 Li
0.5000 0.5000 0.0846 In
0.5000 0.5000 0.2914 In
0.5000 0.5000 0.5000 In
0.5000 0.5000 0.7086 In
0.5000 0.5000 0.9154 In
0.0000 0.0000 0.1833 Pb
0.0000 0.0000 0.3950 Pb
0.0000 0.0000 0.6050 Pb
0.0000 0.0000 0.8167 Pb